1.
# ScGa4Bi PBE optimized geometry
# total magnetization = 0.00 Bohr magnetons per cell
# electronic total energy = -3.85 eV/atom
# N(E_F) = 3.9 states/eV/f.u.
data_ScGa4Bi
_cell_length_a 7.881
_cell_length_b 7.881
_cell_length_c 7.881
_cell_angle_alpha 90.00
_cell_angle_beta 90.00
_cell_angle_gamma 90.00
_space_group_name_H-M_alt 'F -4 3 m'
_space_group_IT_number 216
_space_group_name_Hall 'F -4 2 3'
loop_
_atom_site_label
_atom_site_type_symbol
_atom_site_fract_x
_atom_site_fract_y
_atom_site_fract_z
Sc1 Sc 0.000 0.000 0.000
Ga1 Ga 0.126 0.126 0.626
Bi1 Bi 0.250 0.250 0.250

=====

2.
# Sc2GaBi PBE optimized geometry
# excess energy over the best structure of this formula in the dataset = 0 meV per atom
# total magnetization = 0.00 Bohr magnetons per cell
# electronic total energy = -5.48 eV/atom
# N(E_F) = 2.3 states/eV/f.u.
data_Sc2GaBi
_cell_length_a 4.222
_cell_length_b 22.171
_cell_length_c 4.064
_cell_angle_alpha 90.00
_cell_angle_beta 90.00
_cell_angle_gamma 90.00
_space_group_name_H-M_alt 'C m c m'
_space_group_IT_number 63
_space_group_name_Hall '-C 2c 2'
loop_
_atom_site_label
_atom_site_type_symbol
_atom_site_fract_x
_atom_site_fract_y
_atom_site_fract_z
Sc1 Sc 0.000 0.058 0.250
Sc2 Sc 0.000 0.331 0.250
Ga1 Ga 0.000 0.462 0.250
Bi1 Bi 0.000 0.191 0.250

=====

3.
# Sc2GaBi PBE optimized geometry
# excess energy over the best structure of this formula in the dataset = 285 meV per atom
# total magnetization = 0.00 Bohr magnetons per cell
# electronic total energy = -5.20 eV/atom
# N(E_F) = 2.7 states/eV/f.u.
data_Sc2GaBi
_cell_length_a 7.715
_cell_length_b 7.715
_cell_length_c 6.485
_cell_angle_alpha 90.00
_cell_angle_beta 90.00
_cell_angle_gamma 90.00
_space_group_name_H-M_alt 'I -4 2 d'
_space_group_IT_number 122
_space_group_name_Hall 'I -4 2bw'
loop_
_atom_site_label
_atom_site_type_symbol
_atom_site_fract_x
_atom_site_fract_y
_atom_site_fract_z
Sc1 Sc 0.230 0.750 0.125
Ga1 Ga 0.000 0.000 0.000
Bi1 Bi 0.000 0.000 0.500